[1]
Entry from Alexandria via LeMat-Bulk: a relaxed Ce2S2O crystal (GGA-PBEsol).

Cell: 8.3237 7.0752 6.8704 Å, 90.00 96.87 90.00°
Last column: nearest neighbours and their distance in Å.
Space group P2_1/c (No. 14)
Inequivalent atoms, fractional coordinates:
Ce  0.0899  0.1222  0.3032 (multiplicity 4)  3 O 2.32-2.38
Ce  0.3612  0.5588  0.2475 (multiplicity 4)  1 O 2.32
S  0.1650  0.6637  0.5417 (multiplicity 4)  5 Ce 2.82-3.00, 2 O 3.08-3.14
S  0.4172  0.2335  0.4770 (multiplicity 4)  5 Ce 2.80-2.95, 1 O 3.08
O  0.1155  0.0892  0.6504 (multiplicity 4)  4 Ce 2.32-2.38

## Properties
ΔE_f (raw)	-2.488	eV per atom
D(E_F)	2.18	states/eV/atom
V	20.1	A^3/atom

---

[2]
Entry from Alexandria via LeMat-Bulk: a relaxed HfCuSbI2 crystal (GGA-PBEsol).

Cell: 5.4604 5.4604 5.6529 Å, 90.00 90.00 90.00°
Last column: nearest neighbours and their distance in Å.
Space group P4/mmm (No. 123)
Inequivalent atoms, fractional coordinates:
Hf  0.0000  0.0000  0.0000 (multiplicity 1)  4 I 2.73, 2 Sb 2.83
Cu  0.5000  0.5000  0.5000 (multiplicity 1)  4 Sb 3.86, 8 I 3.93
Sb  0.0000  0.0000  0.5000 (multiplicity 1)  2 Hf 2.83
I  0.0000  0.5000  0.0000 (multiplicity 2)  2 Hf 2.73

## Properties
ΔE_f (raw)	0.451	eV per atom
D(E_F)	0.40	states/eV/atom
V	33.7	A^3/atom

---

[3]
Entry from Alexandria via LeMat-Bulk: a relaxed YScTe crystal (GGA-PBEsol).

Cell: 6.9615 6.9615 6.9615 Å, 90.00 90.00 90.00°
Last column: nearest neighbours and their distance in Å.
Space group F-43m (No. 216)
Inequivalent atoms, fractional coordinates:
Y  0.0000  0.0000  0.0000 (multiplicity 4)  4 Sc 3.01
Sc  0.2500  0.2500  0.7500 (multiplicity 4)  4 Te 3.01, 4 Y 3.01
Te  0.0000  0.0000  0.5000 (multiplicity 4)  4 Sc 3.01

## Properties
ΔE_f (raw)	0.003	eV per atom
D(E_F)	1.73	states/eV/atom
V	28.1	A^3/atom
relative energy among the computed polymorphs	812	meV/atom

---

[4]
Entry from Alexandria via LeMat-Bulk: a relaxed InPtO2F crystal (GGA-PBEsol).

Cell: 3.7263 3.7263 5.9160 Å, 90.00 90.00 90.00°
Last column: nearest neighbours and their distance in Å.
Space group P4/mmm (No. 123)
Inequivalent atoms, fractional coordinates:
In  0.0000  0.0000  0.0000 (multiplicity 1)  4 F 2.63
Pt  0.5000  0.5000  0.5000 (multiplicity 1)  4 O 1.86
O  0.0000  0.5000  0.5000 (multiplicity 2)  2 Pt 1.86
F  0.5000  0.5000  0.0000 (multiplicity 1)  4 In 2.63

## Properties
ΔE_f (raw)	-0.601	eV per atom
D(E_F)	0.68	states/eV/atom
V	16.4	A^3/atom

---

[5]
Entry from Alexandria via LeMat-Bulk: a relaxed NiMo2Se crystal (GGA-PBEsol).

Cell: 2.9502 2.9502 6.3828 Å, 90.00 90.00 90.00°
Last column: nearest neighbours and their distance in Å.
Space group P4/mmm (No. 123)
Inequivalent atoms, fractional coordinates:
Ni  0.0000  0.0000  0.0000 (multiplicity 1)  8 Mo 2.62
Mo  0.5000  0.5000  0.2477 (multiplicity 2)  4 Ni 2.62, 4 Se 2.64
Se  0.0000  0.0000  0.5000 (multiplicity 1)  8 Mo 2.64, 4 Se 2.95

## Properties
ΔE_f (raw)	0.092	eV per atom
D(E_F)	0.95	states/eV/atom
V	13.9	A^3/atom

---

[6]
Entry from Alexandria via LeMat-Bulk: a relaxed ReSi2Se crystal (GGA-PBEsol).

Cell: 2.9290 3.0767 6.9594 Å, 90.00 90.00 90.00°
Last column: nearest neighbours and their distance in Å.
Space group Pmmm (No. 47)
Inequivalent atoms, fractional coordinates:
Re  0.0000  0.0000  0.0000 (multiplicity 1)  8 Si 2.54
Si  0.5000  0.5000  0.2007 (multiplicity 2)  4 Re 2.54, 2 Se 2.59, 1 Si 2.79
Se  0.5000  0.0000  0.5000 (multiplicity 1)  4 Si 2.59

## Properties
ΔE_f (raw)	0.004	eV per atom
D(E_F)	0.45	states/eV/atom
V	15.7	A^3/atom

---

[7]
Entry from Alexandria via LeMat-Bulk: a relaxed CaMg30NiO32 crystal (GGA-PBEsol).

Cell: 8.4736 8.4736 8.4746 Å, 90.00 90.00 90.00°
Last column: nearest neighbours and their distance in Å.
Space group P4/mmm (No. 123)
Inequivalent atoms, fractional coordinates:
Ca  0.0000  0.0000  0.0000 (multiplicity 1)  6 O 2.22
Mg  0.0000  0.0000  0.5000 (multiplicity 1)  6 O 2.02-2.14
Mg  0.0000  0.2530  0.2527 (multiplicity 8)  6 O 2.09-2.15
Mg  0.0000  0.5000  0.0000 (multiplicity 2)  6 O 2.01-2.13
Mg  0.0000  0.5000  0.5000 (multiplicity 2)  6 O 2.10-2.13
Mg  0.2504  0.2504  0.5000 (multiplicity 4)  6 O 2.11-2.12
Mg  0.2513  0.5000  0.2493 (multiplicity 8)  6 O 2.11-2.13
Mg  0.2538  0.2538  0.0000 (multiplicity 4)  6 O 2.09-2.15
Mg  0.5000  0.5000  0.5000 (multiplicity 1)  6 O 2.11
Ni  0.5000  0.5000  0.0000 (multiplicity 1)  6 O 2.11-2.13
O  0.0000  0.0000  0.2621 (multiplicity 2)  5 Mg 2.02-2.15, 1 Ca 2.22
O  0.0000  0.2521  0.5000 (multiplicity 4)  6 Mg 2.10-2.14
O  0.0000  0.2624  0.0000 (multiplicity 4)  5 Mg 2.01-2.15, 1 Ca 2.22
O  0.0000  0.5000  0.2517 (multiplicity 4)  6 Mg 2.09-2.13
O  0.2502  0.2502  0.2497 (multiplicity 8)  6 Mg 2.12
O  0.2514  0.5000  0.0000 (multiplicity 4)  5 Mg 2.09-2.13, 1 Ni 2.11
O  0.2509  0.5000  0.5000 (multiplicity 4)  6 Mg 2.11-2.13
O  0.5000  0.5000  0.2511 (multiplicity 2)  5 Mg 2.11, 1 Ni 2.13

## Properties
ΔE_f (raw)	-2.672	eV per atom
V	9.5	A^3/atom

---

[8]
Entry from Alexandria via LeMat-Bulk: a relaxed MnBeSb2 crystal (GGA-PBEsol).

Cell: 4.9062 4.9062 3.0356 Å, 90.00 90.00 90.00°
Last column: nearest neighbours and their distance in Å.
Space group P4/mmm (No. 123)
Inequivalent atoms, fractional coordinates:
Mn  0.0000  0.0000  0.0000 (multiplicity 1)  8 Sb 2.88, 2 Mn 3.04
Be  0.5000  0.5000  0.0000 (multiplicity 1)  8 Sb 2.88, 2 Be 3.04
Sb  0.0000  0.5000  0.5000 (multiplicity 2)  4 Mn 2.88, 4 Be 2.88, 2 Sb 3.04

## Properties
ΔE_f (raw)	0.520	eV per atom
D(E_F)	0.57	states/eV/atom
V	18.3	A^3/atom